(1)
# MgMn2Co (PBE-GGA, relaxed)
data_MgMn2Co
_cell_length_a 2.962
_cell_length_b 4.358
_cell_length_c 8.537
_cell_angle_alpha 90.00
_cell_angle_beta 90.00
_cell_angle_gamma 90.00
_space_group_name_H-M_alt 'I m m m'
_space_group_IT_number 71
_space_group_name_Hall '-I 2 2'
loop_
_atom_site_label
_atom_site_fract_x
_atom_site_fract_y
_atom_site_fract_z
_atom_site_occupancy
Mg1 0.000 0.000 0.000 1
Mn1 0.000 0.500 0.221 1
Co1 0.000 0.000 0.500 1
# Formation energy (eV per formula unit): 1.0
# Calculated volume (A^3/atom): 13.773
# Energy above the most stable polymorph in this dataset (eV per atom): 0.115
# DOS at the Fermi energy (states/eV/cell): 7.887

(2)
# NaPr2Lu (PBE-GGA, relaxed)
data_NaPr2Lu
_cell_length_a 5.948
_cell_length_b 5.948
_cell_length_c 3.778
_cell_angle_alpha 90.00
_cell_angle_beta 90.00
_cell_angle_gamma 90.00
_space_group_name_H-M_alt 'P 4/m m m'
_space_group_IT_number 123
_space_group_name_Hall '-P 4 2'
loop_
_atom_site_label
_atom_site_fract_x
_atom_site_fract_y
_atom_site_fract_z
_atom_site_occupancy
Na1 0.000 0.000 0.000 1
Pr1 0.000 0.500 0.500 1
Lu1 0.500 0.500 0.000 1
# Formation energy (eV per formula unit): 0.7
# Calculated volume (A^3/atom): 33.413
# Energy above the most stable polymorph in this dataset (eV per atom): 0.081
# DOS at the Fermi energy (states/eV/cell): 4.751

(3)
# ScSiTe (PBE-GGA, relaxed)
data_ScSiTe
_cell_length_a 3.673
_cell_length_b 3.673
_cell_length_c 9.438
_cell_angle_alpha 90.00
_cell_angle_beta 90.00
_cell_angle_gamma 90.00
_space_group_name_H-M_alt 'I 4 m m'
_space_group_IT_number 107
_space_group_name_Hall 'I 4 -2'
loop_
_atom_site_label
_atom_site_fract_x
_atom_site_fract_y
_atom_site_fract_z
_atom_site_occupancy
Sc1 0.000 0.000 0.000 1
Si1 0.000 0.000 0.619 1
Te1 0.000 0.000 0.328 1
# Calculated volume (A^3/atom): 21.219
# DOS at the Fermi energy (states/eV/cell): 1.086
# Raw formation energy (kJ/mol of atoms): -43.9

Number 1: spin magnetization 6.84 μB per formula unit, calculated total energy -52.104 eV per cell. Number 2: spin magnetization 0.00 μB per formula unit, calculated total energy -14.670 eV per cell. Number 3: spin magnetization 0.00 μB per formula unit, calculated total energy -32.523 eV per cell.